Computed, not measured: a crystal of Ga3WSe relaxed with PBEsol at the SCAN level of DFT.

Output
Final energy in eV per cell: -134.87
Uncorrected formation energy in eV/atom: 0.79

Structure (CIF):
```
data_Ga3WSe
_chemical_formula_sum 'Ga3 W1 Se1'
_space_group_name_H-M_alt 'P m -3 m'
_space_group_IT_number 221
_space_group_name_Hall '-P 4 2 3'
_cell_length_a 4.925
_cell_length_b 4.925
_cell_length_c 4.925
_cell_angle_alpha 90.00
_cell_angle_beta 90.00
_cell_angle_gamma 90.00
loop_
_atom_site_label
_atom_site_type_symbol
_atom_site_fract_x
_atom_site_fract_y
_atom_site_fract_z
Ga1 Ga 0.000 0.000 0.500
W1 W 0.000 0.000 0.000
Se1 Se 0.500 0.500 0.500
```